No. 1
! TeHAu | Alexandria via LeMat-Bulk | GGA-PBE | relaxed; values from VASP
! * polymorph energy (0 for the lowest one): 134 meV/atom
! * magnetization: 0.00 μB per formula unit
! * DOS(E_F): 0.06 states/eV/atom
! * total DFT energy (no corrections): -19.098 eV/cell
&SYSTEM
  ibrav = 0, nat = 6, ntyp = 3
/
ATOMIC_SPECIES
H 1.01 H.upf
Te 127.60 Te.upf
Au 196.97 Au.upf
ATOMIC_POSITIONS angstrom
H 4.7281 2.3073 2.7788
Te 4.5004 3.9865 3.3947
Au 5.1647 0.5933 1.9537
Te 3.3892 1.2560 0.0928
H 2.8146 2.1127 4.7460
Au 7.4249 3.3466 5.5217
CELL_PARAMETERS angstrom
4.5487 -0.1942 0.0086
2.0518 3.9171 -0.3458
2.2363 0.6644 6.9574

=====

No. 2
! TaAgSe2 | Alexandria via LeMat-Bulk | GGA-PBE | relaxed; values from VASP
! * energy relative to the elements, uncorrected: -21.5 kJ per mole of atoms
! * magnetization: 0.00 μB per formula unit
! * DOS(E_F): 0.25 states/eV/atom
! * total DFT energy (no corrections): -22.565 eV/cell
&SYSTEM
  ibrav = 0, nat = 4, ntyp = 3
/
ATOMIC_SPECIES
Ag 107.87 Ag.upf
Se 78.96 Se.upf
Ta 180.95 Ta.upf
ATOMIC_POSITIONS angstrom
Ag 3.4766 2.4746 1.2201
Se 2.8626 -0.3454 1.2201
Ta 7.0397 2.5379 0.0000
Se 12.4048 4.4720 0.0000
CELL_PARAMETERS angstrom
7.2626 0.0195 0.0001
5.6044 4.6191 -0.0001
-6.3837 -2.4575 2.4402